[1]
K2NaPuH6 | GGA-PBE | relaxed

DFT total energy = -3.860 eV/atom
Spin magnetization = 20.00 μB per cell

```
data_K2NaPuH6
_chemical_formula_sum 'K8 Na4 Pu4 H24'
_symmetry_space_group_name_H-M 'F m -3 m'
_symmetry_Int_Tables_number 225
_symmetry_space_group_name_Hall '-F 4 2 3'
_cell_length_a 8.932
_cell_length_b 8.932
_cell_length_c 8.932
_cell_angle_alpha 90.00
_cell_angle_beta 90.00
_cell_angle_gamma 90.00
loop_
_atom_site_label
_atom_site_fract_x
_atom_site_fract_y
_atom_site_fract_z
K1 0.250 0.250 0.250
Na1 0.000 0.000 0.000
Pu1 0.000 0.000 0.500
H1 0.000 0.000 0.253
```



[2]
K2RbNaH4 | GGA-PBE | relaxed

DFT total energy = -2.408 eV/atom
Spin magnetization = 0.27 μB per cell

```
data_K2RbNaH4
_chemical_formula_sum 'K8 Rb4 Na4 H16'
_symmetry_space_group_name_H-M 'C m c m'
_symmetry_Int_Tables_number 63
_symmetry_space_group_name_Hall '-C 2c 2'
_cell_length_a 3.957
_cell_length_b 13.331
_cell_length_c 13.562
_cell_angle_alpha 90.00
_cell_angle_beta 90.00
_cell_angle_gamma 90.00
loop_
_atom_site_label
_atom_site_fract_x
_atom_site_fract_y
_atom_site_fract_z
K1 0.000 0.131 0.040
Rb1 0.000 0.384 0.250
Na1 0.000 0.348 0.750
H1 0.000 0.065 0.250
H2 0.000 0.240 0.626
H3 0.000 0.500 0.000
```



[3]
K2RbNaH | GGA-PBE | relaxed

Polymorph energy (0 for the lowest one) = 0.086 eV per atom
Spin magnetization = 0.66 μB per cell

```
data_K2RbNaH
_chemical_formula_sum 'K2 Rb1 Na1 H1'
_symmetry_space_group_name_H-M 'P 4/m m m'
_symmetry_Int_Tables_number 123
_symmetry_space_group_name_Hall '-P 4 2'
_cell_length_a 5.751
_cell_length_b 5.751
_cell_length_c 7.227
_cell_angle_alpha 90.00
_cell_angle_beta 90.00
_cell_angle_gamma 90.00
loop_
_atom_site_label
_atom_site_fract_x
_atom_site_fract_y
_atom_site_fract_z
K1 0.000 0.500 0.000
Rb1 0.000 0.000 0.500
Na1 0.500 0.500 0.500
H1 0.500 0.500 0.000
```



[4]
KRb2NaH4 | GGA-PBE | relaxed

DFT total energy = -2.353 eV/atom
Spin magnetization = 0.00 μB per cell

```
data_KRb2NaH4
_chemical_formula_sum 'K4 Rb8 Na4 H16'
_symmetry_space_group_name_H-M 'C m c m'
_symmetry_Int_Tables_number 63
_symmetry_space_group_name_Hall '-C 2c 2'
_cell_length_a 4.009
_cell_length_b 13.480
_cell_length_c 14.269
_cell_angle_alpha 90.00
_cell_angle_beta 90.00
_cell_angle_gamma 90.00
loop_
_atom_site_label
_atom_site_fract_x
_atom_site_fract_y
_atom_site_fract_z
K1 0.000 0.119 0.250
Rb1 0.000 0.367 0.041
Na1 0.000 0.153 0.750
H1 0.000 0.000 0.000
H2 0.000 0.266 0.636
H3 0.000 0.439 0.250
```



Which value of spin magnetization does entry 2 give?
0.27 μB per cell



spin magnetization of number 2 (K2RbNaH4)?
0.27 μB per cell